# Cu2SnF, optimized geometry, DFT PBE
data_Cu2SnF
_space_group_name_H-M_alt 'P 1'
_space_group_IT_number 1
_space_group_name_Hall 'P 1'
_cell_length_a 4.4200
_cell_length_b 4.4200
_cell_length_c 4.4200
_cell_angle_alpha 60.00
_cell_angle_beta 60.00
_cell_angle_gamma 60.00
loop_
_atom_site_label
_atom_site_type_symbol
_atom_site_fract_x
_atom_site_fract_y
_atom_site_fract_z
_atom_site_occupancy
Cu1 Cu 0.2500 0.2500 0.2500 1
Cu2 Cu 0.7500 0.7500 0.7500 1
Sn1 Sn 0.0000 0.0000 0.0000 1
F1 F 0.5000 0.5000 0.5000 1
# mass density = 7.20 g/cm³
# excess energy over the best structure of this formula in the dataset = 0.207 eV/atom
# formation energy from raw total energies = -17.5 kJ per mole of atoms